No. 1
The following is a PBE calculation of NaBeN3 after structural relaxation, from Alexandria via LeMat-Bulk.

Cell: 4.1306 4.1306 4.1306 Å, 90.00 90.00 90.00°
Closest atoms and distances in Å follow each position.
Space group Pm-3m (No. 221)
Inequivalent atoms, fractional coordinates:
Na: 0.0000 0.0000 0.0000 [1 per cell]  6 N 2.07
Be: 0.5000 0.5000 0.5000 [1 per cell]  12 N 2.92
N: 0.0000 0.0000 0.5000 [3 per cell]  2 Na 2.07

Values from the calculation:
density of states at the Fermi level = 0.708 states/eV/atom
energy relative to the elements, uncorrected = 15.38 eV/f.u.

---

No. 2
The following is a PBE calculation of NaBe2N after structural relaxation, from Alexandria via LeMat-Bulk.

Cell: 5.4033 5.4033 7.5392 Å, 90.00 90.00 90.00°
Closest atoms and distances in Å follow each position.
Space group I4_1/amd (No. 141, origin choice 2)
Inequivalent atoms, fractional coordinates:
Na: 0.0000 0.2500 0.3750 [4 per cell]  12 Be 3.13-3.16, 4 Na 3.29, 4 N 3.29
Be: 0.0000 0.0000 0.0000 [8 per cell]  2 N 1.65
N: 0.0000 0.2500 0.8750 [4 per cell]  4 Be 1.65

Values from the calculation:
density of states at the Fermi level = 0.132 states/eV/atom
energy relative to the elements, uncorrected = -0.17 eV/f.u.

---

No. 3
The following is a PBE calculation of NaBeN3 after structural relaxation, from Alexandria via LeMat-Bulk.

Cell: 3.5315 3.5315 3.5315 Å, 90.00 90.00 90.00°
Closest atoms and distances in Å follow each position.
Space group Pm-3m (No. 221)
Inequivalent atoms, fractional coordinates:
Na: 0.0000 0.0000 0.0000 [1 per cell]  12 N 2.50
Be: 0.5000 0.5000 0.5000 [1 per cell]  6 N 1.77
N: 0.0000 0.5000 0.5000 [3 per cell]  2 Be 1.77

Values from the calculation:
density of states at the Fermi level = 0.562 states/eV/atom
energy relative to the elements, uncorrected = 6.64 eV/f.u.

---

no.,total magnetization (μB per cell)
1,5.81
2,0.00
3,0.00